Ga2Ag2Au | GGA-PBE | optimized geometry

Results
energy above the most stable polymorph in this dataset	0.1343	eV/atom
crystal system	tetragonal
formation energy from the elements	8.1	kJ/mol of atoms
space group	No. 139

Lattice parameters (Å, degrees): 7.333 7.333 7.333 150.65 150.65 41.99
Fractional coordinates of all 5 atoms:
Ga 0.250 0.750 0.500
Ga 0.750 0.250 0.500
Ag 0.100 0.100 0.000
Ag 0.900 0.900 0.000
Au 0.500 0.500 0.000

***

SrGeF | GGA-PBE | optimized geometry

Results
raw formation energy	-211.0	kJ/mol of atoms
energy above the most stable polymorph in this dataset	0.0000	eV/atom
crystal system	trigonal
space group	No. 166

Lattice parameters (Å, degrees): 9.068 9.068 9.068 26.30 26.30 26.30
Fractional coordinates of all 6 atoms:
Sr 0.102 0.102 0.102
Sr 0.898 0.898 0.898
Ge 0.353 0.353 0.353
Ge 0.647 0.647 0.647
F 0.198 0.198 0.198
F 0.802 0.802 0.802

***

CeTh4N7 | GGA-PBE | optimized geometry

Results
raw formation energy	-131.7	kJ/mol of atoms
crystal system	monoclinic
space group	No. 8

Lattice parameters (Å, degrees): 6.191 6.191 9.902 107.32 107.32 33.45
Fractional coordinates of all 12 atoms:
Ce 0.000 0.000 0.000
Th 0.104 0.104 0.416
Th 0.222 0.222 0.840
Th 0.416 0.416 0.607
Th 0.790 0.790 0.218
N 0.053 0.053 0.633
N 0.155 0.155 0.203
N 0.375 0.375 0.060
N 0.451 0.451 0.374
N 0.620 0.620 0.937
N 0.757 0.757 0.460
N 0.847 0.847 0.789

***

Sn3SbAs | GGA-PBE | optimized geometry

Results
raw formation energy	40.8	kJ/mol of atoms
energy above the most stable polymorph in this dataset	0.1977	eV/atom
crystal system	cubic
space group	No. 221

Lattice parameters (Å, degrees): 5.430 5.430 5.430 90.00 90.00 90.00
Fractional coordinates of all 5 atoms:
Sn 0.000 0.000 0.500
Sn 0.000 0.500 0.000
Sn 0.500 0.000 0.000
Sb 0.500 0.500 0.500
As 0.000 0.000 0.000

***

no.,density (g/cm3)
1,9.70
2,4.61
3,9.74
4,5.73